No. 1
Computed, not measured: Tb6Er12Tm after structural relaxation at the PBE level of DFT.

Values from the calculation:
Uncorrected energy (eV/atom): -4.396
ΔE_f (eV per atom): 0.184
Excess energy over the best structure of this formula in the dataset (eV per formula unit): 0.00

a = 8.4482 Å, b = 8.4482 Å, c = 8.4482 Å
α = 91.59°, β = 91.59°, γ = 91.59°
Last column: nearest neighbours and their distance in Å.
Positions (direct):
Tb: 0.2292 0.7543 0.3668  7 Er 3.28-3.59, 1 Tm 3.37, 2 Tb 3.59
Tb: 0.2457 0.6332 0.7708  7 Er 3.28-3.59, 1 Tm 3.37, 2 Tb 3.59
Tb: 0.3668 0.2292 0.7543  7 Er 3.28-3.59, 1 Tm 3.37, 2 Tb 3.59
Tb: 0.6332 0.7708 0.2457  7 Er 3.28-3.59, 1 Tm 3.37, 2 Tb 3.59
Tb: 0.7543 0.3668 0.2292  7 Er 3.28-3.59, 1 Tm 3.37, 2 Tb 3.59
Tb: 0.7708 0.2457 0.6332  7 Er 3.28-3.59, 1 Tm 3.37, 2 Tb 3.59
Er: 0.0244 0.2919 0.9688  6 Er 3.24-3.62, 3 Tb 3.28-3.51
Er: 0.0312 0.9756 0.7081  6 Er 3.24-3.62, 3 Tb 3.28-3.51
Er: 0.1197 0.3575 0.4335  4 Er 3.24-3.43, 1 Tm 3.43, 4 Tb 3.50-3.59
Er: 0.2919 0.9688 0.0244  6 Er 3.24-3.62, 3 Tb 3.28-3.51
Er: 0.3575 0.4335 0.1197  4 Er 3.24-3.43, 1 Tm 3.43, 4 Tb 3.50-3.59
Er: 0.4335 0.1197 0.3575  4 Er 3.24-3.43, 1 Tm 3.43, 4 Tb 3.50-3.59
Er: 0.5665 0.8803 0.6425  4 Er 3.24-3.43, 1 Tm 3.43, 4 Tb 3.50-3.59
Er: 0.6425 0.5665 0.8802  4 Er 3.24-3.43, 1 Tm 3.43, 4 Tb 3.50-3.59
Er: 0.7081 0.0312 0.9756  6 Er 3.24-3.62, 3 Tb 3.28-3.51
Er: 0.8803 0.6425 0.5665  4 Er 3.24-3.43, 1 Tm 3.43, 4 Tb 3.50-3.59
Er: 0.9688 0.0244 0.2919  6 Er 3.24-3.62, 3 Tb 3.28-3.51
Er: 0.9756 0.7081 0.0312  6 Er 3.24-3.62, 3 Tb 3.28-3.51
Tm: 0.5000 0.5000 0.5000  6 Tb 3.37, 6 Er 3.43

No. 2
Computed, not measured: Tb4Er3Tm8 after structural relaxation at the PBE level of DFT.

Values from the calculation:
Uncorrected energy (eV/atom): -4.394
ΔE_f (eV per atom): 0.139
Excess energy over the best structure of this formula in the dataset (eV per formula unit): 0.00

a = 12.2472 Å, b = 12.2472 Å, c = 12.2472 Å
α = 32.40°, β = 32.40°, γ = 32.40°
Last column: nearest neighbours and their distance in Å.
Positions (direct):
Tb: 0.0000 0.0000 0.0000  6 Er 3.42, 6 Tm 3.49
Tb: 0.1634 0.1634 0.1634  4 Tm 3.19-3.44
Tb: 0.5000 0.5000 0.5000  6 Tm 3.52
Tb: 0.8366 0.8366 0.8366  4 Tm 3.19-3.44
Er: 0.0000 0.5000 0.5000  6 Tm 3.36-3.48, 4 Er 3.42, 2 Tb 3.42
Er: 0.5000 0.0000 0.5000  6 Tm 3.36-3.48, 4 Er 3.42, 2 Tb 3.42
Er: 0.5000 0.5000 0.0000  6 Tm 3.36-3.48, 2 Tb 3.42, 4 Er 3.42
Tm: 0.2502 0.2502 0.7475  6 Tm 3.40-3.44, 3 Tb 3.44-3.52, 2 Er 3.48
Tm: 0.2502 0.7475 0.2502  6 Tm 3.40-3.44, 3 Tb 3.44-3.52, 2 Er 3.48
Tm: 0.2525 0.7498 0.7498  6 Tm 3.40-3.44, 3 Tb 3.44-3.52, 2 Er 3.48
Tm: 0.2552 0.2552 0.2552  1 Tb 3.19, 3 Er 3.36, 6 Tm 3.42
Tm: 0.7448 0.7448 0.7448  1 Tb 3.19, 3 Er 3.36, 6 Tm 3.42
Tm: 0.7475 0.2502 0.2502  6 Tm 3.40-3.44, 3 Tb 3.44-3.52, 2 Er 3.48
Tm: 0.7498 0.2525 0.7498  6 Tm 3.40-3.44, 3 Tb 3.44-3.52, 2 Er 3.48
Tm: 0.7498 0.7498 0.2525  6 Tm 3.40-3.44, 3 Tb 3.44-3.52, 2 Er 3.48

No. 3
Computed, not measured: TbEr12Tm7 after structural relaxation at the PBE level of DFT.

Values from the calculation:
Uncorrected energy (eV/atom): -4.186
ΔE_f (eV per atom): 0.348
Excess energy over the best structure of this formula in the dataset (eV per formula unit): 0.66

a = 10.7982 Å, b = 10.7982 Å, c = 10.7982 Å
α = 115.97°, β = 115.97°, γ = 115.97°
Last column: nearest neighbours and their distance in Å.
Positions (direct):
Tb: 0.0000 0.0000 0.0000  8 Tm 3.15-3.29
Er: 0.0682 0.4920 0.2815  4 Er 3.19-3.37, 3 Tm 3.36-3.49
Er: 0.2058 0.2673 0.7463  2 Tm 3.15-3.23, 5 Er 3.19-3.37
Er: 0.2537 0.7942 0.7327  2 Tm 3.15-3.23, 5 Er 3.19-3.37
Er: 0.2673 0.7463 0.2058  2 Tm 3.15-3.23, 5 Er 3.19-3.37
Er: 0.2815 0.0682 0.4920  4 Er 3.19-3.37, 3 Tm 3.36-3.49
Er: 0.4920 0.2815 0.0682  4 Er 3.19-3.37, 3 Tm 3.36-3.49
Er: 0.5080 0.7185 0.9318  4 Er 3.19-3.37, 3 Tm 3.36-3.49
Er: 0.7185 0.9318 0.5080  4 Er 3.19-3.37, 3 Tm 3.36-3.49
Er: 0.7327 0.2537 0.7942  2 Tm 3.15-3.23, 5 Er 3.19-3.37
Er: 0.7463 0.2058 0.2673  2 Tm 3.15-3.23, 5 Er 3.19-3.37
Er: 0.7942 0.7327 0.2537  2 Tm 3.15-3.23, 5 Er 3.19-3.37
Er: 0.9318 0.5080 0.7185  4 Er 3.19-3.37, 3 Tm 3.36-3.49
Tm: 0.0738 0.2130 0.3782  1 Tb 3.15, 5 Er 3.15-3.49, 1 Tm 3.34
Tm: 0.2130 0.3782 0.0738  1 Tb 3.15, 5 Er 3.15-3.49, 1 Tm 3.34
Tm: 0.3782 0.0738 0.2130  1 Tb 3.15, 5 Er 3.15-3.49, 1 Tm 3.34
Tm: 0.5000 0.5000 0.5000  2 Tb 3.29, 6 Tm 3.34
Tm: 0.6218 0.9262 0.7870  1 Tb 3.15, 5 Er 3.15-3.49, 1 Tm 3.34
Tm: 0.7870 0.6218 0.9262  1 Tb 3.15, 5 Er 3.15-3.49, 1 Tm 3.34
Tm: 0.9262 0.7870 0.6218  1 Tb 3.15, 5 Er 3.15-3.49, 1 Tm 3.34

No. 4
Computed, not measured: Tb5ErTm3 after structural relaxation at the PBE level of DFT.

Values from the calculation:
Uncorrected energy (eV/atom): -4.053
ΔE_f (eV per atom): 0.517
Excess energy over the best structure of this formula in the dataset (eV per formula unit): 0.00

a = 9.4141 Å, b = 9.4141 Å, c = 9.7813 Å
α = 120.68°, β = 120.68°, γ = 74.43°
Last column: nearest neighbours and their distance in Å.
Positions (direct):
Tb: 0.1005 0.6046 0.2539  3 Tb 3.31-3.69, 2 Tm 3.44-3.50
Tb: 0.2252 0.2252 0.2367  3 Tm 3.18-3.31, 3 Tb 3.27-3.39, 1 Er 3.33
Tb: 0.2433 0.7567 0.0000  1 Tm 2.92
Tb: 0.2780 0.2780 0.9605  3 Tm 3.09-3.31, 3 Tb 3.27-3.31, 1 Er 3.27
Tb: 0.3954 0.8995 0.7461  3 Tb 3.31-3.69, 2 Tm 3.44-3.50
Tb: 0.6046 0.1005 0.2539  3 Tb 3.31-3.69, 2 Tm 3.44-3.50
Tb: 0.7220 0.7220 0.0395  3 Tm 3.09-3.31, 3 Tb 3.27-3.31, 1 Er 3.27
Tb: 0.7567 0.2433 0.0000  1 Tm 2.92
Tb: 0.7748 0.7748 0.7633  3 Tm 3.18-3.31, 3 Tb 3.27-3.39, 1 Er 3.33
Tb: 0.8995 0.3954 0.7461  3 Tb 3.31-3.69, 2 Tm 3.44-3.50
Er: 0.2468 0.2468 0.5978  4 Tm 3.17-3.38, 2 Tb 3.27-3.33
Er: 0.7532 0.7532 0.4022  4 Tm 3.17-3.38, 2 Tb 3.27-3.33
Tm: 0.0000 0.0000 0.5000  2 Tm 3.05, 2 Er 3.17
Tm: 0.0104 0.0104 0.8219  1 Tm 3.05, 5 Tb 3.18-3.33, 1 Er 3.38
Tm: 0.4814 0.4814 0.6412  2 Tm 3.15-3.34, 4 Tb 3.19-3.50, 1 Er 3.26
Tm: 0.5000 0.5000 0.0000  4 Tb 2.92-3.09
Tm: 0.5186 0.5186 0.3588  2 Tm 3.15-3.34, 4 Tb 3.19-3.50, 1 Er 3.26
Tm: 0.9896 0.9896 0.1781  1 Tm 3.05, 5 Tb 3.18-3.33, 1 Er 3.38

No. 5
Computed, not measured: Tb7Er2Tm4 after structural relaxation at the PBE level of DFT.

Values from the calculation:
Uncorrected energy (eV/atom): -4.390
ΔE_f (eV per atom): 0.181

a = 6.0358 Å, b = 6.0358 Å, c = 13.0205 Å
α = 90.00°, β = 90.00°, γ = 120.00°
Last column: nearest neighbours and their distance in Å.
Positions (direct):
Tb: 0.0000 0.0000 0.0000  6 Er 3.48, 6 Tb 3.59
Tb: 0.0000 0.3628 0.2188  1 Tm 3.15, 4 Tb 3.34, 2 Er 3.44
Tb: 0.0000 0.6372 0.7812  1 Tm 3.15, 4 Tb 3.34, 2 Er 3.44
Tb: 0.3628 0.0000 0.2188  1 Tm 3.15, 4 Tb 3.34, 2 Er 3.44
Tb: 0.3628 0.3628 0.7812  1 Tm 3.15, 4 Tb 3.34, 2 Er 3.44
Tb: 0.6372 0.0000 0.7812  1 Tm 3.15, 4 Tb 3.34, 2 Er 3.44
Tb: 0.6372 0.6372 0.2188  1 Tm 3.15, 4 Tb 3.34, 2 Er 3.44
Er: 0.3333 0.6667 0.0000  9 Tb 3.44-3.48, 3 Er 3.48
Er: 0.6667 0.3333 0.0000  9 Tb 3.44-3.48, 3 Er 3.48
Tm: 0.0000 0.0000 0.3931  1 Tm 2.78
Tm: 0.0000 0.0000 0.6069  1 Tm 2.78
Tm: 0.3333 0.6667 0.5000  9 Tm 3.48-3.75
Tm: 0.6667 0.3333 0.5000  9 Tm 3.48-3.75

No. 6
Computed, not measured: Tb3Er6Tm2 after structural relaxation at the PBE level of DFT.

Values from the calculation:
Uncorrected energy (eV/atom): -4.275
ΔE_f (eV per atom): 0.290

a = 16.7276 Å, b = 16.7276 Å, c = 16.7276 Å
α = 163.95°, β = 163.95°, γ = 22.78°
Last column: nearest neighbours and their distance in Å.
Positions (direct):
Tb: 0.0000 0.0000 0.0000  8 Tm 3.63
Tb: 0.2007 0.2007 0.0000  9 Er 3.31-3.51
Tb: 0.7993 0.7993 0.0000  9 Er 3.31-3.51
Er: 0.1209 0.6209 0.5000  6 Er 3.30-3.38, 2 Tm 3.39, 2 Tb 3.51
Er: 0.3045 0.3045 0.0000  5 Tb 3.31-3.41, 4 Er 3.38
Er: 0.3791 0.8791 0.5000  6 Er 3.30-3.38, 2 Tm 3.39, 2 Tb 3.51
Er: 0.6209 0.1209 0.5000  6 Er 3.30-3.38, 2 Tm 3.39, 2 Tb 3.51
Er: 0.6955 0.6955 0.0000  5 Tb 3.31-3.41, 4 Er 3.38
Er: 0.8791 0.3791 0.5000  6 Er 3.30-3.38, 2 Tm 3.39, 2 Tb 3.51
Tm: 0.4538 0.4538 0.0000  1 Tm 3.03, 4 Er 3.39
Tm: 0.5462 0.5462 0.0000  1 Tm 3.03, 4 Er 3.39